Below is an optimized crystal structure of TiV2Pt2, with properties calculated at the PBE level.

Summary:
- Uncorrected energy: -0.2949 Ha/atom
- Energy relative to the lowest polymorph listed for this composition: 11.5 meV/atom
- Crystal system: tetragonal

a b c (Å): 7.516 7.516 2.739
angles (deg): 90.00 90.00 90.00
Space group P4/mbm (No. 127)
Unique sites:
Ti1 0.000 0.000 0.000 x2
V1 0.167 0.333 0.500 x4
Pt1 0.131 0.631 0.000 x4

Below is an optimized crystal structure of Tb3Tm4Bi4, with properties calculated at the PBE level.

Summary:
- Uncorrected energy: -0.1752 Ha/atom
- Crystal system: orthorhombic

a b c (Å): 9.881 4.326 15.700
angles (deg): 90.00 90.00 90.00
Space group Amm2 (No. 38)
Unique sites:
Tb1 0.000 0.000 0.000 x2
Tb2 0.268 0.000 0.144 x4
Tm1 0.000 0.000 0.325 x2
Tm2 0.247 0.000 0.830 x4
Tm3 0.500 0.000 0.347 x2
Bi1 0.000 0.000 0.671 x2
Bi2 0.250 0.000 0.481 x4
Bi3 0.500 0.000 0.692 x2

Below is an optimized crystal structure of CdHg2Ir, with properties calculated at the PBE level.

Summary:
- Uncorrected energy: -0.0879 Ha/atom
- Energy relative to the lowest polymorph listed for this composition: 1.5 meV/atom
- Crystal system: orthorhombic

a b c (Å): 2.989 4.626 12.900
angles (deg): 90.00 90.00 90.00
Space group Imm2 (No. 44)
Unique sites:
Cd1 0.000 0.000 0.000 x2
Hg1 0.000 0.000 0.627 x2
Hg2 0.000 0.500 0.818 x2
Ir1 0.000 0.500 0.316 x2

Below is an optimized crystal structure of HfBe2PbCl, with properties calculated at the PBE level.

Summary:
- Uncorrected energy: -0.1295 Ha/atom
- Crystal system: tetragonal

a b c (Å): 4.463 4.463 5.800
angles (deg): 90.00 90.00 90.00
Space group P4/mmm (No. 123)
Unique sites:
Hf1 0.000 0.000 0.000 x1
Be1 0.000 0.500 0.500 x2
Pb1 0.000 0.000 0.500 x1
Cl1 0.500 0.500 0.000 x1

Below is an optimized crystal structure of CaBiHPd2, with properties calculated at the PBE level.

Summary:
- Uncorrected energy: -0.1576 Ha/atom
- Crystal system: tetragonal

a b c (Å): 4.394 4.394 4.433
angles (deg): 90.00 90.00 90.00
Space group P4/mmm (No. 123)
Unique sites:
Ca1 0.000 0.000 0.000 x1
Bi1 0.500 0.500 0.000 x1
H1 0.000 0.000 0.500 x1
Pd1 0.000 0.500 0.500 x2

Below is an optimized crystal structure of CrCo2Pt3, with properties calculated at the PBE level.

Summary:
- Uncorrected energy: -0.2612 Ha/atom
- Crystal system: orthorhombic

a b c (Å): 3.830 11.482 7.491
angles (deg): 90.00 90.00 90.00
Space group Cmmm (No. 65)
Unique sites:
Cr1 0.000 0.160 0.000 x4
Co1 0.000 0.169 0.500 x4
Co2 0.000 0.500 0.000 x2
Co3 0.000 0.500 0.500 x2
Pt1 0.000 0.000 0.254 x4
Pt2 0.000 0.333 0.249 x8

Below is an optimized crystal structure of MgCoP, with properties calculated at the PBE level.

Summary:
- Uncorrected energy: -0.1806 Ha/atom
- Crystal system: trigonal

a b c (Å): 3.1108 3.1108 5.4622
angles (deg): 90.00 90.00 120.00
Space group P3m1 (No. 156)
Unique sites:
Mg1 0.0000 0.0000 0.0000 x1
Co1 0.3333 0.6667 0.6154 x1
P1 0.6667 0.3333 0.3958 x1

Below is an optimized crystal structure of ZnIr2Pt, with properties calculated at the PBE level.

Summary:
- Uncorrected energy: -0.2286 Ha/atom
- Crystal system: orthorhombic

a b c (Å): 2.732 4.790 9.165
angles (deg): 90.00 90.00 90.00
Space group Cmm2 (No. 35)
Unique sites:
Zn1 0.000 0.000 0.000 x2
Ir1 0.000 0.000 0.509 x2
Ir2 0.000 0.500 0.757 x2
Pt1 0.000 0.500 0.244 x2

Below is an optimized crystal structure of AcYN2, with properties calculated at the PBE level.

Summary:
- Uncorrected energy: -0.2892 Ha/atom
- Energy relative to the lowest polymorph listed for this composition: 222.5 meV/atom
- Crystal system: trigonal

a b c (Å): 3.6154 3.6154 19.0348
angles (deg): 90.00 90.00 120.00
Space group R3m (No. 160, hexagonal axes)
Unique sites:
Ac1 0.0000 0.0000 0.0000 x3
Y1 0.0000 0.0000 0.1699 x3
N1 0.0000 0.0000 0.4348 x3
N2 0.0000 0.0000 0.5896 x3

Below is an optimized crystal structure of LaGaP2O, with properties calculated at the PBE level.

Summary:
- Uncorrected energy: -0.1751 Ha/atom
- Energy relative to the lowest polymorph listed for this composition: 608.0 meV/atom
- Crystal system: tetragonal

a b c (Å): 5.832 5.832 4.322
angles (deg): 90.00 90.00 90.00
Space group P4/mmm (No. 123)
Unique sites:
La1 0.000 0.000 0.000 x1
Ga1 0.500 0.500 0.500 x1
P1 0.000 0.500 0.000 x2
O1 0.000 0.000 0.500 x1

Below is an optimized crystal structure of LiZn2Ag, with properties calculated at the PBE level.

Summary:
- Uncorrected energy: -0.0736 Ha/atom
- Crystal system: tetragonal

a b c (Å): 3.853 3.853 8.177
angles (deg): 90.00 90.00 90.00
Space group I4/mmm (No. 139)
Unique sites:
Li1 0.000 0.000 0.000 x2
Zn1 0.000 0.500 0.250 x4
Ag1 0.000 0.000 0.500 x2

Below is an optimized crystal structure of LiSe3, with properties calculated at the PBE level.

Summary:
- Uncorrected energy: -0.1093 Ha/atom
- Energy relative to the lowest polymorph listed for this composition: 560.4 meV/atom
- Crystal system: cubic

a b c (Å): 6.852 6.852 6.852
angles (deg): 90.00 90.00 90.00
Space group Fm-3m (No. 225)
Unique sites:
Li1 0.000 0.000 0.000 x4
Se1 0.000 0.000 0.500 x4
Se2 0.250 0.250 0.250 x8